DFT (PBE-GGA) results for Y2AlIr2 after structural relaxation.

Its energy of formation from the pure elements is -3.65 eV per formula unit.

a b c (Å): 6.9066 6.9066 4.3002
angles (deg): 90.00 90.00 90.00
Fractional positions:
1 Y 0.1757 0.6757 0.5000
2 Y 0.6757 0.8243 0.5000
3 Y 0.8243 0.3243 0.5000
4 Y 0.3243 0.1757 0.5000
5 Ir 0.3643 0.8643 0.0000
6 Ir 0.8643 0.6357 0.0000
7 Ir 0.6357 0.1357 0.0000
8 Ir 0.1357 0.3643 0.0000
9 Al 0.0000 0.0000 0.0000
10 Al 0.5000 0.5000 0.0000

***

DFT (PBE-GGA) results for Y4Al3Ir after structural relaxation.

Its energy of formation from the pure elements is -4.38 eV per formula unit.

a b c (Å): 3.9091 4.3992 11.1746
angles (deg): 90.00 90.00 90.00
Fractional positions:
1 Y 0.5000 0.5000 0.3356
2 Y 0.0000 0.5000 0.8697
3 Y 0.0000 0.0000 0.1413
4 Y 0.5000 0.0000 0.6553
5 Ir 0.5000 0.5000 0.0640
6 Al 0.0000 0.5000 0.5690
7 Al 0.0000 0.0000 0.4300
8 Al 0.5000 0.0000 0.9352

***

DFT (PBE-GGA) results for Y3Al3Ir2 after structural relaxation.

Its energy of formation from the pure elements is -6.29 eV per formula unit.

a b c (Å): 5.7889 7.7474 15.1309
angles (deg): 90.00 90.00 90.00
Fractional positions:
1 Y 0.1073 0.4686 0.3907
2 Y 0.6073 0.0314 0.6093
3 Y 0.8927 0.5314 0.8907
4 Y 0.3927 0.9686 0.1093
5 Y 0.8927 0.5314 0.6093
6 Y 0.3927 0.9686 0.3907
7 Y 0.1073 0.4686 0.1093
8 Y 0.6073 0.0314 0.8907
9 Y 0.6297 0.3345 0.2500
10 Y 0.1297 0.1655 0.7500
11 Y 0.3703 0.6655 0.7500
12 Y 0.8703 0.8345 0.2500
13 Al 0.1171 0.1761 0.2500
14 Al 0.6171 0.3239 0.7500
15 Al 0.8829 0.8239 0.7500
16 Al 0.3829 0.6761 0.2500
17 Al 0.5981 0.3377 0.4641
18 Al 0.0981 0.1623 0.5359
19 Al 0.4019 0.6623 0.9641
20 Al 0.9019 0.8377 0.0359
21 Al 0.4019 0.6623 0.5359
22 Al 0.9019 0.8377 0.4641
23 Al 0.5981 0.3377 0.0359
24 Al 0.0981 0.1623 0.9641
25 Ir 0.8736 0.1317 0.3936
26 Ir 0.3736 0.3683 0.6064
27 Ir 0.1264 0.8683 0.8936
28 Ir 0.6264 0.6317 0.1064
29 Ir 0.1264 0.8683 0.6064
30 Ir 0.6264 0.6317 0.3936
31 Ir 0.8736 0.1317 0.1064
32 Ir 0.3736 0.3683 0.8936

***

DFT (PBE-GGA) results for Y4AlIr after structural relaxation.

Its energy of formation from the pure elements is -2.74 eV per formula unit.

a b c (Å): 6.0300 8.2961 8.0444
angles (deg): 114.80 104.03 104.88
Fractional positions:
1 Y 0.0403 0.2195 0.8617
2 Y 0.7849 0.7071 0.6484
3 Y 0.3214 0.6422 0.8617
4 Y 0.3635 0.9413 0.6484
5 Y 0.6365 0.0587 0.3516
6 Y 0.6786 0.3578 0.1383
7 Y 0.2151 0.2929 0.3516
8 Y 0.9597 0.7805 0.1383
9 Al 0.3790 0.6290 0.2581
10 Al 0.6210 0.3710 0.7419
11 Ir 0.2499 0.9999 0.9997
12 Ir 0.7501 0.0001 0.0003

***

DFT (PBE-GGA) results for Y2Al2ZnIr5 after structural relaxation.

Its energy of formation from the pure elements is -6.50 eV per formula unit.

a b c (Å): 3.4657 9.8599 9.8599
angles (deg): 90.00 90.00 90.00
Fractional positions:
1 Y 0.0000 0.6749 0.1749
2 Y 0.0000 0.3251 0.8251
3 Y 0.0000 0.1749 0.3251
4 Y 0.0000 0.8251 0.6749
5 Al 0.0000 0.1253 0.6253
6 Al 0.0000 0.8747 0.3747
7 Al 0.0000 0.6253 0.8747
8 Al 0.0000 0.3747 0.1253
9 Zn 0.0000 0.0000 0.0000
10 Zn 0.0000 0.5000 0.5000
11 Ir 0.5000 0.2038 0.0630
12 Ir 0.5000 0.7962 0.9370
13 Ir 0.5000 0.0630 0.7962
14 Ir 0.5000 0.7038 0.4370
15 Ir 0.5000 0.9370 0.2038
16 Ir 0.5000 0.2962 0.5630
17 Ir 0.5000 0.5630 0.7038
18 Ir 0.5000 0.4370 0.2962
19 Ir 0.5000 0.5000 0.0000
20 Ir 0.5000 0.0000 0.5000

***

DFT (PBE-GGA) results for YZrAlIr2 after structural relaxation.

Its energy of formation from the pure elements is 7.82 eV per formula unit.

a b c (Å): 4.9240 5.1124 4.9240
angles (deg): 90.00 90.00 90.00
Fractional positions:
1 Y 0.0000 0.0000 0.0000
2 Ir 0.0000 0.0000 0.5000
3 Ir 0.5000 0.0000 0.0000
4 Al 0.5000 0.5000 0.5000
5 Zr 0.0000 0.5000 0.0000

***

DFT (PBE-GGA) results for Y2ZrAlIr after structural relaxation.

Its energy of formation from the pure elements is -0.10 eV per formula unit.

a b c (Å): 5.3523 4.7594 5.3523
angles (deg): 90.00 90.00 90.00
Site moments in Bohr magnetons follow the coordinates.
Fractional positions:
1 Y 0.0000 0.0000 0.5000  0.12
2 Y 0.5000 0.0000 0.0000  0.12
3 Ir 0.0000 0.0000 0.0000  0.04
4 Al 0.0000 0.5000 0.0000  -0.01
5 Zr 0.5000 0.5000 0.5000  1.03

***

DFT (PBE-GGA) results for AlZnIr2 after structural relaxation.

Its energy of formation from the pure elements is -1.35 eV per formula unit.

a b c (Å): 4.1505 2.7852 5.1030
angles (deg): 74.09 90.00 90.00
Fractional positions:
1 Zn 0.0000 0.7026 0.4712
2 Ir 0.0000 0.9614 0.9490
3 Ir 0.5000 0.2893 0.2993
4 Al 0.5000 0.5466 0.7805

***

DFT (PBE-GGA) results for AlZn2Ir after structural relaxation.

Its energy of formation from the pure elements is -1.51 eV per formula unit.

a b c (Å): 4.7419 4.7419 4.7407
angles (deg): 132.57 132.58 69.34
Fractional positions:
1 Zn 0.0001 0.0001 0.0000
2 Zn 0.7500 0.2500 0.5000
3 Ir 0.2500 0.7500 0.5000
4 Al 0.5000 0.5000 0.0000

***

DFT (PBE-GGA) results for AlZnIr2 after structural relaxation.

Its energy of formation from the pure elements is -0.59 eV per formula unit.

a b c (Å): 8.7434 8.7434 8.7434
angles (deg): 18.47 18.47 18.47
Site moments in Bohr magnetons follow the coordinates.
Fractional positions:
1 Zn 0.5007 0.5007 0.5007  -0.01
2 Ir 0.0030 0.0030 0.0030  0.15
3 Ir 0.2493 0.2493 0.2493  0.34
4 Al 0.7470 0.7470 0.7470  0.00

***

DFT (PBE-GGA) results for AlZnIr2 after structural relaxation.

Its energy of formation from the pure elements is -1.13 eV per formula unit.

a b c (Å): 4.1829 2.8068 4.9613
angles (deg): 87.47 90.00 90.00
Fractional positions:
1 Zn 0.5000 0.2500 0.2500
2 Ir 0.0000 0.9953 0.9965
3 Ir 0.0000 0.5047 0.5035
4 Al 0.5000 0.7500 0.7500

***

DFT (PBE-GGA) results for Al2Zn2Ir after structural relaxation.

Its energy of formation from the pure elements is 0.10 eV per formula unit.

a b c (Å): 6.6993 6.6993 3.3151
angles (deg): 90.00 90.00 90.00
Fractional positions:
1 Zn 0.3718 0.8718 0.0000
2 Zn 0.8718 0.6282 0.0000
3 Zn 0.6282 0.1282 0.0000
4 Zn 0.1282 0.3718 0.0000
5 Ir 0.0000 0.0000 0.0000
6 Ir 0.5000 0.5000 0.0000
7 Al 0.1744 0.6744 0.5000
8 Al 0.6744 0.8256 0.5000
9 Al 0.8256 0.3256 0.5000
10 Al 0.3256 0.1744 0.5000

***

DFT (PBE-GGA) results for AlZn2Ir after structural relaxation.

Its energy of formation from the pure elements is 0.42 eV per formula unit.

a b c (Å): 7.3728 7.3728 5.7747
angles (deg): 50.33 50.33 90.00
Fractional positions:
1 Zn 0.6579 0.1250 0.2500
2 Zn 0.0921 0.6250 0.2500
3 Zn 0.3750 0.3421 0.7500
4 Zn 0.8750 0.9079 0.7500
5 Ir 0.0000 0.0000 0.0000
6 Ir 0.7500 0.2500 0.5000
7 Al 0.5000 0.5000 0.0000
8 Al 0.2500 0.7500 0.5000

***

DFT (PBE-GGA) results for AlZn2Ir after structural relaxation.

Its energy of formation from the pure elements is -0.09 eV per formula unit.

a b c (Å): 2.8499 2.8499 7.5285
angles (deg): 90.00 90.00 90.00
Fractional positions:
1 Zn 0.0000 0.0000 0.9792
2 Zn 0.0000 0.0000 0.5208
3 Ir 0.5000 0.5000 0.7500
4 Al 0.5000 0.5000 0.2500

***

DFT (PBE-GGA) results for AlZn2Ir after structural relaxation.

Its energy of formation from the pure elements is -1.25 eV per formula unit.

a b c (Å): 3.1801 3.1801 5.6988
angles (deg): 90.00 90.00 90.00
Fractional positions:
1 Zn 0.0000 0.0000 0.0073
2 Zn 0.5000 0.5000 0.2417
3 Ir 0.5000 0.5000 0.7352
4 Al 0.0000 0.0000 0.5158

***

DFT (PBE-GGA) results for AlZn2Ir after structural relaxation.

Its energy of formation from the pure elements is 0.15 eV per formula unit.

a b c (Å): 2.8030 2.8030 8.9329
angles (deg): 90.00 90.00 119.26
Fractional positions:
1 Zn 0.0000 0.0000 0.9908
2 Zn 0.0000 0.0000 0.5092
3 Ir 0.5000 0.5000 0.7500
4 Al 0.5000 0.5000 0.2500

***

DFT (PBE-GGA) results for AlZnIr2 after structural relaxation.

Its energy of formation from the pure elements is -0.99 eV per formula unit.

a b c (Å): 3.1240 3.1240 5.8581
angles (deg): 90.00 90.00 90.00
Fractional positions:
1 Zn 0.0000 0.0000 0.4991
2 Ir 0.0000 0.0000 0.9656
3 Ir 0.5000 0.5000 0.2851
4 Al 0.5000 0.5000 0.7502

***

DFT (PBE-GGA) results for AlZnIr2 after structural relaxation.

Its energy of formation from the pure elements is -0.02 eV per formula unit.

a b c (Å): 2.7797 2.7797 8.9242
angles (deg): 90.00 90.00 120.12
Fractional positions:
1 Zn 0.0000 0.0000 0.4987
2 Ir 0.0000 0.0000 0.9890
3 Ir 0.5000 0.5000 0.2539
4 Al 0.5000 0.5000 0.7584

***

DFT (PBE-GGA) results for AlZnIr2 after structural relaxation.

Its energy of formation from the pure elements is -1.53 eV per formula unit.

a b c (Å): 8.2775 8.2775 8.2775
angles (deg): 19.96 19.96 19.96
Fractional positions:
1 Zn 0.2500 0.2500 0.2500
2 Ir 0.0030 0.0030 0.0030
3 Ir 0.4970 0.4970 0.4970
4 Al 0.7500 0.7500 0.7500

***

DFT (PBE-GGA) results for AlZn2Ir after structural relaxation.

Its energy of formation from the pure elements is -1.60 eV per formula unit.

a b c (Å): 4.8703 4.8703 4.8703
angles (deg): 135.17 135.23 65.22
Fractional positions:
1 Zn 0.0000 0.0000 0.0000
2 Zn 0.5000 0.5000 0.0000
3 Ir 0.2500 0.7500 0.5000
4 Al 0.7500 0.2500 0.5000

***

DFT (PBE-GGA) results for Al3ZnIr4 after structural relaxation.

Its energy of formation from the pure elements is -6.38 eV per formula unit.

a b c (Å): 3.0121 4.2797 8.5500
angles (deg): 90.00 90.00 90.00
Fractional positions:
1 Zn 0.5000 0.5000 0.0000
2 Ir 0.0000 0.0000 0.5000
3 Ir 0.0000 0.5000 0.7435
4 Ir 0.0000 0.0000 0.0000
5 Ir 0.0000 0.5000 0.2565
6 Al 0.5000 0.0000 0.2470
7 Al 0.5000 0.5000 0.5000
8 Al 0.5000 0.0000 0.7530

***

DFT (PBE-GGA) results for AlZn2Ir after structural relaxation.

Its energy of formation from the pure elements is -1.16 eV per formula unit.

a b c (Å): 3.0450 4.2070 4.4584
angles (deg): 90.00 90.00 90.00
Fractional positions:
1 Zn 0.0000 0.0000 0.0000
2 Zn 0.5000 0.5000 0.0000
3 Ir 0.0000 0.5000 0.5000
4 Al 0.5000 0.0000 0.5000

***

DFT (PBE-GGA) results for AlZnIr2 after structural relaxation.

Its energy of formation from the pure elements is -1.40 eV per formula unit.

a b c (Å): 2.7813 3.8141 5.3921
angles (deg): 90.00 90.00 90.00
Fractional positions:
1 Zn 0.0000 0.0000 0.4866
2 Ir 0.0000 0.0000 0.9766
3 Ir 0.5000 0.5000 0.2730
4 Al 0.5000 0.5000 0.7638

***

DFT (PBE-GGA) results for AlZnIr2 after structural relaxation.

Its energy of formation from the pure elements is -0.43 eV per formula unit.

a b c (Å): 4.3557 4.3557 4.3557
angles (deg): 60.00 60.00 60.00
Fractional positions:
1 Zn 0.7500 0.7500 0.7500
2 Ir 0.0000 0.0000 0.0000
3 Ir 0.2500 0.2500 0.2500
4 Al 0.5000 0.5000 0.5000

***

DFT (PBE-GGA) results for AlZnIr2 after structural relaxation.

Its energy of formation from the pure elements is 0.45 eV per formula unit.

a b c (Å): 6.7977 6.7977 5.5237
angles (deg): 52.02 52.02 90.00
Fractional positions:
1 Zn 0.0000 0.0000 0.0000
2 Zn 0.7500 0.2500 0.5000
3 Ir 0.6103 0.1250 0.2500
4 Ir 0.1397 0.6250 0.2500
5 Ir 0.3750 0.3897 0.7500
6 Ir 0.8750 0.8603 0.7500
7 Al 0.5000 0.5000 0.0000
8 Al 0.2500 0.7500 0.5000